Compound: MnZnTc2
Source: Alexandria
Functional: PBE
Structure: relaxed

Unit cell a=2.6895 b=2.6895 c=7.4712 alpha=90.00 beta=90.00 gamma=90.00
Closest atoms and distances in Å follow each position.
Space group P4/mmm (No. 123)
Symmetry-distinct sites (fractional):
Mn: 0.0000 0.0000 0.0000 [1 per cell]  8 Tc 2.57, 4 Mn 2.69
Zn: 0.0000 0.0000 0.5000 [1 per cell]  4 Zn 2.69, 8 Tc 2.77
Tc: 0.5000 0.5000 0.2304 [2 per cell]  4 Mn 2.57, 4 Tc 2.69, 4 Zn 2.77

Computed properties:
For the energy, the calculation gives -30.81 eV per cell.

***

Compound: MnZnTc
Source: Alexandria
Functional: PBE
Structure: relaxed

Unit cell a=2.9190 b=2.9190 c=9.2843 alpha=90.00 beta=90.00 gamma=90.00
Closest atoms and distances in Å follow each position.
Space group I4mm (No. 107)
Symmetry-distinct sites (fractional):
Mn: 0.0000 0.0000 0.0000 [2 per cell]  4 Tc 2.44, 4 Zn 2.59
Zn: 0.0000 0.0000 0.6693 [2 per cell]  4 Mn 2.59, 5 Tc 2.72-2.88
Tc: 0.0000 0.0000 0.3594 [2 per cell]  4 Mn 2.44, 4 Zn 2.72

Computed properties:
For the energy, the calculation gives -41.46 eV per cell. As for the energy above the lowest structure with this stoichiometry: 0.000 eV per formula unit.

***

Compound: MnZnTc2
Source: Alexandria
Functional: PBE
Structure: relaxed

Unit cell a=8.9110 b=2.7609 c=4.6313 alpha=90.00 beta=100.29 gamma=90.00
Closest atoms and distances in Å follow each position.
Space group Cm (No. 8)
Symmetry-distinct sites (fractional):
Mn: 0.0000 0.0000 0.0000 [2 per cell]  3 Zn 2.62-2.66, 7 Tc 2.69-2.81, 2 Mn 2.76
Zn: 0.2494 0.5000 0.2204 [2 per cell]  3 Mn 2.62-2.66, 7 Tc 2.70-2.76, 2 Zn 2.76
Tc: 0.0029 0.5000 0.4998 [2 per cell]  5 Tc 2.59-2.76, 4 Mn 2.69-2.70, 3 Zn 2.74-2.76
Tc: 0.2566 0.0000 0.7228 [2 per cell]  5 Tc 2.59-2.76, 3 Mn 2.70-2.81, 4 Zn 2.70

Computed properties:
For the energy, the calculation gives -61.23 eV per cell.

***

Compound: MnZn3Tc
Source: Alexandria
Functional: PBE
Structure: relaxed

Unit cell a=4.5236 b=4.5236 c=4.5236 alpha=90.00 beta=90.00 gamma=90.00
Closest atoms and distances in Å follow each position.
Space group Pm-3m (No. 221)
Symmetry-distinct sites (fractional):
Mn: 0.0000 0.0000 0.0000 [1 per cell]  6 Zn 2.26
Zn: 0.0000 0.0000 0.5000 [3 per cell]  2 Mn 2.26
Tc: 0.5000 0.5000 0.5000 [1 per cell]  12 Zn 3.20

Computed properties:
For the energy, the calculation gives -17.68 eV per cell. As for the energy above the lowest structure with this stoichiometry: 0.000 eV per formula unit.

***

Compound: MnZnTc
Source: Alexandria
Functional: PBE
Structure: relaxed

Unit cell a=5.6863 b=5.6863 c=5.6863 alpha=90.00 beta=90.00 gamma=90.00
Closest atoms and distances in Å follow each position.
Space group F-43m (No. 216)
Symmetry-distinct sites (fractional):
Mn: 0.0000 0.0000 0.0000 [4 per cell]  4 Tc 2.46, 4 Zn 2.46
Zn: 0.2500 0.2500 0.2500 [4 per cell]  4 Mn 2.46
Tc: 0.2500 0.2500 0.7500 [4 per cell]  4 Mn 2.46

Computed properties:
For the energy, the calculation gives -78.48 eV per cell. As for the energy above the lowest structure with this stoichiometry: 1.111 eV per formula unit.

***

Compound: MnZnTc2
Source: Alexandria
Functional: PBE
Structure: relaxed

Unit cell a=3.2159 b=4.1783 c=8.2982 alpha=90.00 beta=90.00 gamma=90.00
Closest atoms and distances in Å follow each position.
Space group Imm2 (No. 44)
Symmetry-distinct sites (fractional):
Mn: 0.0000 0.0000 0.0000 [2 per cell]  6 Tc 2.60-2.64, 2 Zn 2.62
Zn: 0.0000 0.5000 0.7498 [2 per cell]  2 Mn 2.62, 8 Tc 2.64-2.88
Tc: 0.0000 0.0000 0.5113 [2 per cell]  2 Tc 2.57, 4 Mn 2.64, 4 Zn 2.70-2.88
Tc: 0.0000 0.5000 0.2536 [2 per cell]  2 Tc 2.57, 2 Mn 2.60, 4 Zn 2.64

Computed properties:
For the energy, the calculation gives -61.58 eV per cell.